[1]
This record from the Alexandria database describes CsTlSnSb after structural relaxation. The functional is PBE.

DOS(E_F)	2.79	states/eV/f.u.
E_form (uncorrected)	-0.1096	eV/atom
total moment	0.000	μB/f.u.
calculated volume	42.58	Å³/atom

```
data_CsTlSnSb
_cell_length_a 5.2633
_cell_length_b 5.2633
_cell_length_c 7.7218
_cell_angle_alpha 70.07
_cell_angle_beta 70.07
_cell_angle_gamma 60.00
_space_group_name_H-M_alt 'P 1'
_space_group_IT_number 1
loop_
_space_group_symop_operation_xyz
'x,y,z'
loop_
_atom_site_label
_atom_site_type_symbol
_atom_site_fract_x
_atom_site_fract_y
_atom_site_fract_z
Cs1 Cs 0.8136 0.8136 0.5592
Tl1 Tl 0.2702 0.2702 0.1893
Sn1 Sn 0.6273 0.6273 0.1180
Sb1 Sb 0.0147 0.0147 0.9559
```



[2]
This record from the Alexandria database describes CsZnSnSb after structural relaxation. The functional is PBE.

DOS(E_F)	2.31	states/eV/f.u.
E_form (uncorrected)	-0.1934	eV/atom
total moment	0.000	μB/f.u.
calculated volume	36.04	Å³/atom

```
data_CsZnSnSb
_cell_length_a 4.3215
_cell_length_b 4.3215
_cell_length_c 15.4397
_cell_angle_alpha 90.00
_cell_angle_beta 90.00
_cell_angle_gamma 90.00
_space_group_name_H-M_alt 'P 1'
_space_group_IT_number 1
loop_
_space_group_symop_operation_xyz
'x,y,z'
loop_
_atom_site_label
_atom_site_type_symbol
_atom_site_fract_x
_atom_site_fract_y
_atom_site_fract_z
Cs1 Cs 0.7500 0.7500 0.2615
Cs2 Cs 0.2500 0.2500 0.7385
Zn1 Zn 0.7500 0.2500 0.0000
Zn2 Zn 0.2500 0.7500 0.0000
Sn1 Sn 0.2500 0.7500 0.5000
Sn2 Sn 0.7500 0.2500 0.5000
Sb1 Sb 0.7500 0.7500 0.8894
Sb2 Sb 0.2500 0.2500 0.1106
```



[3]
This record from the Alexandria database describes CsSrSb2 after structural relaxation. The functional is PBE.

DOS(E_F)	3.55	states/eV/f.u.
E_form (uncorrected)	-0.2996	eV/atom
total moment	0.000	μB/f.u.
calculated volume	38.14	Å³/atom

```
data_CsSrSb2
_cell_length_a 5.9975
_cell_length_b 5.9975
_cell_length_c 5.9975
_cell_angle_alpha 60.00
_cell_angle_beta 60.00
_cell_angle_gamma 60.00
_space_group_name_H-M_alt 'P 1'
_space_group_IT_number 1
loop_
_space_group_symop_operation_xyz
'x,y,z'
loop_
_atom_site_label
_atom_site_type_symbol
_atom_site_fract_x
_atom_site_fract_y
_atom_site_fract_z
Cs1 Cs 0.5000 0.5000 0.5000
Sb1 Sb 0.2500 0.2500 0.2500
Sb2 Sb 0.7500 0.7500 0.7500
Sr1 Sr 0.0000 0.0000 0.0000
```



[4]
This record from the Alexandria database describes CsSr3Sb after structural relaxation. The functional is PBE.

DOS(E_F)	5.76	states/eV/f.u.
E_form (uncorrected)	0.8579	eV/atom
total moment	1.661	μB/f.u.
calculated volume	45.52	Å³/atom

```
data_CsSr3Sb
_cell_length_a 6.1055
_cell_length_b 6.1055
_cell_length_c 6.1055
_cell_angle_alpha 90.00
_cell_angle_beta 90.00
_cell_angle_gamma 90.00
_space_group_name_H-M_alt 'P 1'
_space_group_IT_number 1
loop_
_space_group_symop_operation_xyz
'x,y,z'
loop_
_atom_site_label
_atom_site_type_symbol
_atom_site_fract_x
_atom_site_fract_y
_atom_site_fract_z
Cs1 Cs 0.0000 0.0000 0.0000
Sb1 Sb 0.5000 0.5000 0.5000
Sr1 Sr 0.0000 0.5000 0.0000
Sr2 Sr 0.0000 0.0000 0.5000
Sr3 Sr 0.5000 0.0000 0.0000
```



[5]
This record from the Alexandria database describes CsSr2Sb2 after structural relaxation. The functional is PBE.

DOS(E_F)	2.98	states/eV/f.u.
E_form (uncorrected)	-0.5585	eV/atom
total moment	0.000	μB/f.u.
calculated volume	51.57	Å³/atom

```
data_CsSr2Sb2
_cell_length_a 6.3013
_cell_length_b 6.3013
_cell_length_c 7.8756
_cell_angle_alpha 66.42
_cell_angle_beta 66.42
_cell_angle_gamma 90.00
_space_group_name_H-M_alt 'P 1'
_space_group_IT_number 1
loop_
_space_group_symop_operation_xyz
'x,y,z'
loop_
_atom_site_label
_atom_site_type_symbol
_atom_site_fract_x
_atom_site_fract_y
_atom_site_fract_z
Cs1 Cs 0.0000 0.0000 0.0000
Sb1 Sb 0.7500 0.2500 0.5000
Sb2 Sb 0.2500 0.7500 0.5000
Sr1 Sr 0.3088 0.3088 0.3824
Sr2 Sr 0.6912 0.6912 0.6176
```



[6]
This record from the Alexandria database describes CsSr3Sb after structural relaxation. The functional is PBE.

DOS(E_F)	3.64	states/eV/f.u.
E_form (uncorrected)	-0.3075	eV/atom
total moment	0.000	μB/f.u.
calculated volume	57.38	Å³/atom

```
data_CsSr3Sb
_cell_length_a 6.5953
_cell_length_b 6.5953
_cell_length_c 6.5953
_cell_angle_alpha 90.00
_cell_angle_beta 90.00
_cell_angle_gamma 90.00
_space_group_name_H-M_alt 'P 1'
_space_group_IT_number 1
loop_
_space_group_symop_operation_xyz
'x,y,z'
loop_
_atom_site_label
_atom_site_type_symbol
_atom_site_fract_x
_atom_site_fract_y
_atom_site_fract_z
Cs1 Cs 0.5000 0.5000 0.5000
Sb1 Sb 0.0000 0.0000 0.0000
Sr1 Sr 0.0000 0.5000 0.0000
Sr2 Sr 0.0000 0.0000 0.5000
Sr3 Sr 0.5000 0.0000 0.0000
```



[7]
This record from the Alexandria database describes CsSr2Sb2 after structural relaxation. The functional is PBE.

DOS(E_F)	0.77	states/eV/f.u.
E_form (uncorrected)	-0.7936	eV/atom
total moment	0.000	μB/f.u.
calculated volume	37.38	Å³/atom

```
data_CsSr2Sb2
_cell_length_a 9.8350
_cell_length_b 9.8350
_cell_length_c 3.8645
_cell_angle_alpha 90.00
_cell_angle_beta 90.00
_cell_angle_gamma 90.00
_space_group_name_H-M_alt 'P 1'
_space_group_IT_number 1
loop_
_space_group_symop_operation_xyz
'x,y,z'
loop_
_atom_site_label
_atom_site_type_symbol
_atom_site_fract_x
_atom_site_fract_y
_atom_site_fract_z
Cs1 Cs 0.0000 0.0000 0.0000
Cs2 Cs 0.5000 0.5000 0.0000
Sb1 Sb 0.1639 0.6639 0.5000
Sb2 Sb 0.6639 0.8361 0.5000
Sb3 Sb 0.8361 0.3361 0.5000
Sb4 Sb 0.3361 0.1639 0.5000
Sr1 Sr 0.3684 0.8684 0.0000
Sr2 Sr 0.8684 0.6316 0.0000
Sr3 Sr 0.6316 0.1316 0.0000
Sr4 Sr 0.1316 0.3684 0.0000
```



[8]
This record from the Alexandria database describes CsSr2Sb2 after structural relaxation. The functional is PBE.

DOS(E_F)	4.71	states/eV/f.u.
E_form (uncorrected)	-0.6783	eV/atom
total moment	0.025	μB/f.u.
calculated volume	44.46	Å³/atom

```
data_CsSr2Sb2
_cell_length_a 5.7161
_cell_length_b 5.7161
_cell_length_c 7.9134
_cell_angle_alpha 68.83
_cell_angle_beta 68.83
_cell_angle_gamma 90.00
_space_group_name_H-M_alt 'P 1'
_space_group_IT_number 1
loop_
_space_group_symop_operation_xyz
'x,y,z'
loop_
_atom_site_label
_atom_site_type_symbol
_atom_site_fract_x
_atom_site_fract_y
_atom_site_fract_z
Cs1 Cs 0.0000 0.0000 0.0000
Sb1 Sb 0.3800 0.3800 0.2401
Sb2 Sb 0.6200 0.6200 0.7599
Sr1 Sr 0.7500 0.2500 0.5000
Sr2 Sr 0.2500 0.7500 0.5000
```



[9]
This record from the Alexandria database describes CsSrSb2 after structural relaxation. The functional is PBE.

DOS(E_F)	2.22	states/eV/f.u.
E_form (uncorrected)	-0.3440	eV/atom
total moment	0.000	μB/f.u.
calculated volume	52.72	Å³/atom

```
data_CsSrSb2
_cell_length_a 6.1799
_cell_length_b 6.1799
_cell_length_c 11.8758
_cell_angle_alpha 74.92
_cell_angle_beta 74.92
_cell_angle_gamma 90.00
_space_group_name_H-M_alt 'P 1'
_space_group_IT_number 1
loop_
_space_group_symop_operation_xyz
'x,y,z'
loop_
_atom_site_label
_atom_site_type_symbol
_atom_site_fract_x
_atom_site_fract_y
_atom_site_fract_z
Cs1 Cs 0.0000 0.0000 0.0000
Cs2 Cs 0.7500 0.2500 0.5000
Sb1 Sb 0.4399 0.1250 0.2500
Sb2 Sb 0.3101 0.6250 0.2500
Sb3 Sb 0.3750 0.5601 0.7500
Sb4 Sb 0.8750 0.6899 0.7500
Sr1 Sr 0.5000 0.5000 0.0000
Sr2 Sr 0.2500 0.7500 0.5000
```



[10]
This record from the Alexandria database describes CsSrSb4 after structural relaxation. The functional is PBE.

DOS(E_F)	8.25	states/eV/f.u.
E_form (uncorrected)	-0.2987	eV/atom
total moment	0.000	μB/f.u.
calculated volume	33.97	Å³/atom

```
data_CsSrSb4
_cell_length_a 6.6056
_cell_length_b 6.6056
_cell_length_c 6.6056
_cell_angle_alpha 60.00
_cell_angle_beta 60.00
_cell_angle_gamma 60.00
_space_group_name_H-M_alt 'P 1'
_space_group_IT_number 1
loop_
_space_group_symop_operation_xyz
'x,y,z'
loop_
_atom_site_label
_atom_site_type_symbol
_atom_site_fract_x
_atom_site_fract_y
_atom_site_fract_z
Cs1 Cs 0.2500 0.2500 0.2500
Sb1 Sb 0.6267 0.6267 0.1199
Sb2 Sb 0.6267 0.1199 0.6267
Sb3 Sb 0.6267 0.6267 0.6267
Sb4 Sb 0.1199 0.6267 0.6267
Sr1 Sr 0.0000 0.0000 0.0000
```



- Among the records above, which one has the highest total moment?
  number 4



- Look up the calculated volume of the sixth one.
  57.38 Å³/atom



- The lowest calculated volume belongs to which entry?
  CsSrSb4